(1)
NaAcS2 GGA-PBE optimized geometry; DFT total energy = -0.3697 Ry per atom; M_tot = 0.0 μB/cell; uncorrected formation energy = -1609.6 meV/atom
1.0
4.413 0.000 0.000
0.000 4.414 0.000
0.000 0.000 12.237
S Ac Na
4 2 2
direct
0.000 0.500 0.110
0.000 0.500 0.630
0.500 0.000 0.370
0.500 0.000 0.890
0.500 0.000 0.149
0.000 0.500 0.851
0.000 0.000 0.500
0.500 0.500 0.500



(2)
Sr2CrCo GGA-PBE optimized geometry; DFT total energy = -0.3253 Ry per atom; M_tot = 7.0 μB/cell; E_form = 13.77 kcal/mol of atoms; offset from the most stable computed form = 0.237 eV/atom
1.0
-4.355 -0.429 -10.348
8.627 -6.363 -3.366
1.002 -5.225 -6.304
Cr Sr Co
2 4 2
direct
0.500 0.500 0.000
0.250 0.750 0.500
0.375 0.194 0.750
0.806 0.125 0.250
0.875 0.056 0.750
0.944 0.625 0.250
0.750 0.250 0.500
0.000 0.000 0.000



(3)
Ho4ScIn GGA-PBE optimized geometry; DFT total energy = -0.3341 Ry per atom; M_tot = 0.0 μB/cell; E_form = 0.43 kcal/mol of atoms; offset from the most stable computed form = 0.000 eV/atom
1.0
3.446 0.000 0.000
0.000 9.242 0.004
0.000 -0.001 5.612
Sc Ho In
1 4 1
direct
0.500 0.500 0.500
0.500 0.308 0.000
0.500 0.692 0.000
0.000 0.188 0.500
0.000 0.812 0.500
0.000 0.000 0.000



(4)
CeMnAs2 GGA-PBE optimized geometry; DFT total energy = -0.4547 Ry per atom; M_tot = 0.0 μB/cell; E_form = -1.97 kcal/mol of atoms
1.0
-1.170 -2.738 0.465
1.341 -1.907 1.908
-5.170 1.894 7.905
Ce Mn As
1 1 2
direct
0.000 0.000 0.000
0.500 0.500 0.500
0.893 0.893 0.321
0.107 0.107 0.679



(5)
KBa2TlPt GGA-PBE optimized geometry; DFT total energy = -0.2186 Ry per atom; M_tot = 0.7 μB/cell; E_form = -7.01 kcal/mol of atoms; offset from the most stable computed form = 0.000 eV/atom
1.0
6.296 0.000 0.000
0.000 6.296 0.000
0.000 0.000 5.453
Pt Ba K Tl
1 2 1 1
direct
0.000 0.000 0.000
0.500 0.000 0.000
0.000 0.500 0.000
0.500 0.500 0.500
0.000 0.000 0.500



(6)
K2Bi2P GGA-PBE optimized geometry; DFT total energy = -0.2329 Ry per atom; M_tot = 0.0 μB/cell; E_form = -2.21 kcal/mol of atoms
1.0
7.715 0.000 0.000
0.000 7.715 0.000
0.000 0.000 5.737
Bi P K
4 2 4
direct
0.643 0.143 0.000
0.143 0.357 0.000
0.357 0.857 0.000
0.857 0.643 0.000
0.500 0.500 0.000
0.000 0.000 0.000
0.173 0.673 0.500
0.327 0.173 0.500
0.827 0.327 0.500
0.673 0.827 0.500



(7)
Sb2Cl3O GGA-PBE optimized geometry; DFT total energy = -0.2870 Ry per atom; M_tot = 0.0 μB/cell; uncorrected formation energy = -780.9 meV/atom
1.0
3.756 0.000 0.000
1.878 8.550 0.162
1.878 2.012 10.931
Sb O Cl
4 2 6
direct
0.601 0.336 0.461
0.399 0.664 0.539
0.131 0.556 0.182
0.869 0.444 0.818
0.384 0.523 0.708
0.616 0.477 0.292
0.641 0.701 0.016
0.767 0.837 0.630
0.359 0.299 0.984
0.233 0.163 0.370
0.968 0.791 0.273
0.032 0.209 0.727



(8)
LiCrRh3 GGA-PBE optimized geometry; DFT total energy = -0.4481 Ry per atom; M_tot = 0.0 μB/cell; E_form = 14.34 kcal/mol of atoms; offset from the most stable computed form = 0.711 eV/atom
1.0
4.466 0.000 0.000
0.000 4.466 0.000
0.000 0.000 4.466
Rh Cr Li
3 1 1
direct
0.000 0.500 0.000
0.000 0.000 0.500
0.500 0.000 0.000
0.000 0.000 0.000
0.500 0.500 0.500



(9)
Sr2MnMo GGA-PBE optimized geometry; DFT total energy = -0.3039 Ry per atom; M_tot = 0.0 μB/cell; E_form = 39.34 kcal/mol of atoms; offset from the most stable computed form = 1.239 eV/atom
1.0
-5.093 0.010 1.068
-2.756 4.385 -0.506
-3.466 0.465 -3.854
Mo Sr Mn
1 2 1
direct
0.500 0.500 0.500
0.250 0.250 0.250
0.750 0.750 0.750
0.000 0.000 0.000



(10)
NdPaCuAu GGA-PBE optimized geometry; DFT total energy = -0.4052 Ry per atom; M_tot = 1.2 μB/cell; E_form = -2.41 kcal/mol of atoms
1.0
-4.367 1.952 -1.742
-3.905 -3.076 -1.095
-4.146 -0.001 2.954
Au Cu Nd Pa
1 1 1 1
direct
0.750 0.750 0.750
0.250 0.250 0.250
0.500 0.500 0.500
0.000 0.000 0.000



(11)
CsZnH6Ru GGA-PBE optimized geometry; DFT total energy = -0.2642 Ry per atom; M_tot = 0.0 μB/cell
1.0
-1.773 -1.321 -4.276
2.053 -2.252 -3.711
-1.706 -6.062 1.812
Cs H Zn Ru
1 6 1 1
direct
0.011 0.914 0.973
0.083 0.405 0.673
0.542 0.439 0.285
0.276 0.143 0.323
0.524 0.434 0.660
0.984 0.771 0.466
0.496 0.986 0.672
0.695 0.604 0.457
0.388 0.303 0.491



(12)
OsSCl GGA-PBE optimized geometry; DFT total energy = -0.4270 Ry per atom; M_tot = 0.0 μB/cell; uncorrected formation energy = -75.1 meV/atom
1.0
3.534 0.000 0.000
-1.767 3.060 0.000
0.000 0.000 5.946
Os Cl S
1 1 1
direct
0.667 0.333 0.684
0.333 0.667 0.951
0.000 0.000 0.517



(13)
Tb2Pr8Mg GGA-PBE optimized geometry; DFT total energy = -0.3211 Ry per atom; M_tot = 0.0 μB/cell; E_form = 2.16 kcal/mol of atoms; offset from the most stable computed form = 0.086 eV/atom
1.0
-3.205 4.419 -1.689
-6.366 -3.589 2.692
5.925 3.371 7.241
Mg Pr Tb
1 8 2
direct
0.500 0.000 0.000
0.635 0.853 0.269
0.175 0.175 0.350
0.000 0.266 0.000
0.000 0.734 0.000
0.635 0.417 0.269
0.365 0.147 0.731
0.825 0.825 0.650
0.365 0.583 0.731
0.195 0.695 0.390
0.805 0.305 0.610



(14)
LiTh2Ga3Rh4 GGA-PBE optimized geometry; DFT total energy = -0.4610 Ry per atom; M_tot = 0.0 μB/cell; E_form = -17.26 kcal/mol of atoms
1.0
-1.519 -3.209 -2.220
1.696 -2.689 2.726
-8.844 0.227 5.724
Rh Th Ga Li
4 2 3 1
direct
0.500 0.000 0.641
0.500 0.500 0.000
0.000 0.000 0.000
0.000 0.500 0.359
0.000 0.500 0.757
0.500 0.000 0.243
0.000 0.000 0.500
0.500 0.000 0.875
0.000 0.500 0.125
0.500 0.500 0.500



(15)
RbLa2Al GGA-PBE optimized geometry; DFT total energy = -0.2376 Ry per atom; M_tot = 0.0 μB/cell; E_form = 9.44 kcal/mol of atoms
1.0
-4.796 -5.088 6.020
7.693 -1.484 4.874
0.777 -0.337 7.404
Rb Al La
2 2 4
direct
0.000 0.000 0.000
0.750 0.250 0.500
0.500 0.500 0.000
0.250 0.750 0.500
0.375 0.418 0.750
0.582 0.125 0.250
0.875 0.832 0.750
0.168 0.625 0.250



(16)
SrMgVB2 GGA-PBE optimized geometry; DFT total energy = -0.2238 Ry per atom; M_tot = 0.0 μB/cell; E_form = 48.55 kcal/mol of atoms
1.0
-0.649 -4.274 0.490
4.067 -0.274 2.995
-2.504 0.779 3.472
V Mg Sr B
1 1 1 2
direct
0.500 0.500 0.500
0.000 0.000 0.000
0.000 0.500 0.000
0.500 0.000 0.000
0.000 0.000 0.500



(17)
Sr3LiPd GGA-PBE optimized geometry; DFT total energy = -0.1986 Ry per atom; M_tot = 0.0 μB/cell; E_form = -6.26 kcal/mol of atoms; offset from the most stable computed form = 0.004 eV/atom
1.0
7.174 0.000 0.244
0.000 9.911 0.000
-2.659 0.000 5.380
Sr Pd Li
6 2 2
direct
0.775 0.552 0.137
0.775 0.948 0.137
0.390 0.750 0.446
0.225 0.052 0.863
0.225 0.448 0.863
0.610 0.250 0.554
0.607 0.250 0.053
0.393 0.750 0.947
0.986 0.750 0.741
0.014 0.250 0.259



(18)
RuW2Au GGA-PBE optimized geometry; DFT total energy = -0.6832 Ry per atom; M_tot = 0.0 μB/cell; E_form = 7.36 kcal/mol of atoms; offset from the most stable computed form = 0.137 eV/atom
1.0
4.842 0.006 0.000
1.510 4.601 0.000
-3.176 -2.303 2.838
W Ru Au
2 1 1
direct
0.000 0.000 0.000
0.250 0.750 0.500
0.750 0.250 0.500
0.500 0.500 0.000



(19)
BaCa2Ag6 GGA-PBE optimized geometry; DFT total energy = -0.2057 Ry per atom; M_tot = 0.0 μB/cell; E_form = -5.51 kcal/mol of atoms
1.0
3.800 0.000 0.000
0.000 7.292 -4.210
0.000 0.000 8.420
Ba Ca Ag
1 2 6
direct
0.000 0.000 0.000
0.000 0.333 0.667
0.000 0.667 0.333
0.500 0.000 0.662
0.500 0.338 0.338
0.500 0.662 0.000
0.500 0.000 0.338
0.500 0.662 0.662
0.500 0.338 0.000



(20)
Tb12Pr7Y GGA-PBE optimized geometry; DFT total energy = -0.3343 Ry per atom; M_tot = 0.0 μB/cell; E_form = 5.21 kcal/mol of atoms; offset from the most stable computed form = 0.000 eV/atom
1.0
8.544 1.302 1.955
-1.125 8.569 1.955
-1.125 -1.496 8.661
Pr Tb Y
7 12 1
direct
0.500 0.500 0.500
0.156 0.399 0.081
0.919 0.844 0.601
0.844 0.601 0.919
0.399 0.081 0.156
0.081 0.156 0.399
0.601 0.919 0.844
0.383 0.866 0.504
0.504 0.383 0.866
0.866 0.504 0.383
0.251 0.726 0.854
0.617 0.134 0.496
0.749 0.274 0.146
0.854 0.251 0.726
0.496 0.617 0.134
0.726 0.854 0.251
0.134 0.496 0.617
0.146 0.749 0.274
0.274 0.146 0.749
0.000 0.000 0.000



(21)
Sc3SnN GGA-PBE optimized geometry; DFT total energy = -0.4275 Ry per atom; M_tot = 0.0 μB/cell; uncorrected formation energy = 448.8 meV/atom
1.0
4.647 0.000 0.000
0.000 4.647 0.000
2.323 2.323 11.460
Sc Sn N
6 2 2
direct
0.645 0.877 0.246
0.123 0.355 0.754
0.317 0.317 0.367
0.109 0.877 0.246
0.123 0.891 0.754
0.683 0.683 0.633
0.000 0.000 0.000
0.250 0.750 0.500
0.855 0.355 0.290
0.645 0.145 0.710



(22)
SrCd3 GGA-PBE optimized geometry; DFT total energy = -0.0967 Ry per atom; M_tot = 0.0 μB/cell; E_form = -4.83 kcal/mol of atoms
1.0
-2.403 4.094 -0.977
-1.389 -1.833 -4.266
-3.973 -1.835 2.083
Cd Sr
3 1
direct
0.500 0.500 0.917
0.500 0.000 0.417
0.000 0.000 0.916
0.000 0.500 0.417



(23)
KCdIn GGA-PBE optimized geometry; DFT total energy = -0.1230 Ry per atom; M_tot = 0.0 μB/cell; E_form = -2.06 kcal/mol of atoms; offset from the most stable computed form = 0.035 eV/atom
1.0
-4.624 -1.485 -4.033
1.109 -4.784 0.490
-8.274 -0.896 9.976
Cd K In
4 4 4
direct
0.951 0.000 0.342
0.951 0.500 0.842
0.196 0.000 0.901
0.196 0.500 0.401
0.202 0.500 0.121
0.202 0.000 0.621
0.698 0.500 0.551
0.698 0.000 0.051
0.446 0.500 0.838
0.446 0.000 0.338
0.705 0.500 0.266
0.705 0.000 0.766



(24)
TmAl6Fe3 GGA-PBE optimized geometry; DFT total energy = -0.4028 Ry per atom; M_tot = 1.5 μB/cell; E_form = -5.73 kcal/mol of atoms
1.0
-5.314 0.193 -0.416
3.048 1.055 -4.248
2.420 -6.669 0.080
Tm Al Fe
1 6 3
direct
0.980 0.990 0.970
0.775 0.387 0.660
0.273 0.886 0.660
0.671 0.086 0.257
0.171 0.586 0.257
0.273 0.387 0.660
0.671 0.586 0.257
0.253 0.127 0.379
0.635 0.317 0.952
0.297 0.649 0.946